A relaxed structure of Ca3Pm2YTe6, computed with PBE.

Results
The magnetization comes out at 0.000 Bohr magnetons per cell. For the density of states at the Fermi level, the calculation gives 5.15 states/eV/f.u. As for the energy relative to the elements, uncorrected: -1.50 eV/atom.

Structure (CIF):
```
data_Ca3Pm2YTe6
_chemical_formula_sum 'Ca6 Pm4 Y2 Te12'
_space_group_name_H-M_alt 'C 1 2/m 1'
_space_group_IT_number 12
_cell_length_a 19.601
_cell_length_b 4.426
_cell_length_c 9.004
_cell_angle_alpha 90.00
_cell_angle_beta 104.69
_cell_angle_gamma 90.00
loop_
_space_group_symop_operation_xyz
'x,y,z'
'-x,-y,-z'
'-x,y,-z'
'x,-y,z'
'x+1/2,y+1/2,z'
'-x+1/2,-y+1/2,-z'
'-x+1/2,y+1/2,-z'
'x+1/2,-y+1/2,z'
loop_
_atom_site_label
_atom_site_type_symbol
_atom_site_fract_x
_atom_site_fract_y
_atom_site_fract_z
Ca1 Ca 0.000 0.000 0.000
Ca2 Ca 0.168 0.500 0.335
Pm1 Pm 0.170 0.500 0.840
Y1 Y 0.000 0.000 0.500
Te1 Te 0.000 0.500 0.255
Te2 Te 0.164 0.000 0.088
Te3 Te 0.164 0.000 0.582
```

=====

A relaxed structure of AcAl9Co2, computed with PBE.

Results
For the energy above the most stable polymorph in this dataset, the calculation gives 0.056 eV/atom. The magnetization comes out at 0.000 Bohr magnetons per cell. For the density of states at the Fermi level, the calculation gives 6.26 states/eV/f.u.

Structure (CIF):
```
data_AcAl9Co2
_chemical_formula_sum 'Ac4 Al36 Co8'
_space_group_name_H-M_alt 'I 41/a m d'
_space_group_IT_number 141
_cell_length_a 10.582
_cell_length_b 10.582
_cell_length_c 7.129
_cell_angle_alpha 90.00
_cell_angle_beta 90.00
_cell_angle_gamma 90.00
loop_
_space_group_symop_operation_xyz
'x,y,z'
'-x,-y,-z'
'-y+1/4,x+3/4,z+1/4'
'y+1/4,-x+3/4,-z+1/4'
'-x+1/2,-y,z+1/2'
'x+1/2,y,-z+1/2'
'y+1/4,-x+1/4,z+3/4'
'-y+1/4,x+1/4,-z+3/4'
'x,-y,-z'
'-x,y,z'
'-y+1/4,-x+1/4,-z+3/4'
'y+1/4,x+1/4,z+3/4'
'-x+1/2,y,-z+1/2'
'x+1/2,-y,z+1/2'
'y+1/4,x+3/4,-z+1/4'
'-y+1/4,-x+3/4,z+1/4'
'x+1/2,y+1/2,z+1/2'
'-x+1/2,-y+1/2,-z+1/2'
'-y+3/4,x+1/4,z+3/4'
'y+3/4,-x+1/4,-z+3/4'
'-x,-y+1/2,z'
'x,y+1/2,-z'
'y+3/4,-x+3/4,z+1/4'
'-y+3/4,x+3/4,-z+1/4'
'x+1/2,-y+1/2,-z+1/2'
'-x+1/2,y+1/2,z+1/2'
'-y+3/4,-x+3/4,-z+1/4'
'y+3/4,x+3/4,z+1/4'
'-x,y+1/2,-z'
'x,-y+1/2,z'
'y+3/4,x+1/4,-z+3/4'
'-y+3/4,-x+1/4,z+3/4'
loop_
_atom_site_label
_atom_site_type_symbol
_atom_site_fract_x
_atom_site_fract_y
_atom_site_fract_z
Ac1 Ac 0.000 0.250 0.375
Al1 Al 0.000 0.250 0.875
Al2 Al 0.124 0.050 0.698
Co1 Co 0.000 0.000 0.000
```

=====

A relaxed structure of TbCeGd, computed with PBE.

Results
For the energy above the most stable polymorph in this dataset, the calculation gives 0.004 eV/atom. The magnetization comes out at 13.784 Bohr magnetons per cell. For the density of states at the Fermi level, the calculation gives 6.15 states/eV/f.u.

Structure (CIF):
```
data_TbCeGd
_chemical_formula_sum 'Tb2 Ce2 Gd2'
_space_group_name_H-M_alt 'I 4 m m'
_space_group_IT_number 107
_space_group_name_Hall 'I 4 -2'
_cell_length_a 3.536
_cell_length_b 3.536
_cell_length_c 14.897
_cell_angle_alpha 90.00
_cell_angle_beta 90.00
_cell_angle_gamma 90.00
loop_
_atom_site_label
_atom_site_type_symbol
_atom_site_fract_x
_atom_site_fract_y
_atom_site_fract_z
Tb1 Tb 0.000 0.000 0.000
Ce1 Ce 0.000 0.000 0.661
Gd1 Gd 0.000 0.000 0.322
```

=====

A relaxed structure of LiCuOs2, computed with PBE.

Results
For the energy above the most stable polymorph in this dataset, the calculation gives 0.039 eV/atom. The magnetization comes out at 0.000 Bohr magnetons per cell. For the density of states at the Fermi level, the calculation gives 2.33 states/eV/f.u.

Structure (CIF):
```
data_LiCuOs2
_chemical_formula_sum 'Li2 Cu2 Os4'
_space_group_name_H-M_alt 'I m m m'
_space_group_IT_number 71
_space_group_name_Hall '-I 2 2'
_cell_length_a 2.671
_cell_length_b 4.237
_cell_length_c 10.153
_cell_angle_alpha 90.00
_cell_angle_beta 90.00
_cell_angle_gamma 90.00
loop_
_atom_site_label
_atom_site_type_symbol
_atom_site_fract_x
_atom_site_fract_y
_atom_site_fract_z
Li1 Li 0.000 0.000 0.000
Cu1 Cu 0.000 0.000 0.500
Os1 Os 0.000 0.500 0.213
```

=====

A relaxed structure of Ca2YPaP4, computed with PBE.

Results
The magnetization comes out at 0.000 Bohr magnetons per cell. For the density of states at the Fermi level, the calculation gives 0.02 states/eV/f.u.

Structure (CIF):
```
data_Ca2YPaP4
_chemical_formula_sum 'Ca2 Y1 Pa1 P4'
_space_group_name_H-M_alt 'P 1 2/m 1'
_space_group_IT_number 10
_cell_length_a 7.015
_cell_length_b 4.097
_cell_length_c 7.058
_cell_angle_alpha 90.00
_cell_angle_beta 109.30
_cell_angle_gamma 90.00
loop_
_space_group_symop_operation_xyz
'x,y,z'
'-x,-y,-z'
'-x,y,-z'
'x,-y,z'
loop_
_atom_site_label
_atom_site_type_symbol
_atom_site_fract_x
_atom_site_fract_y
_atom_site_fract_z
Ca1 Ca 0.000 0.000 0.000
Ca2 Ca 0.500 0.500 0.000
Y1 Y 0.000 0.500 0.500
Pa1 Pa 0.500 0.000 0.500
P1 P 0.254 0.000 0.731
P2 P 0.264 0.500 0.271
```

=====

A relaxed structure of Mn2TcCl, computed with PBE.

Results
For the energy above the most stable polymorph in this dataset, the calculation gives 0.480 eV/atom. The magnetization comes out at 12.708 Bohr magnetons per cell. For the density of states at the Fermi level, the calculation gives 4.30 states/eV/f.u. As for the energy relative to the elements, uncorrected: 0.56 eV/atom.

Structure (CIF):
```
data_Mn2TcCl
_chemical_formula_sum 'Mn4 Tc2 Cl2'
_space_group_name_H-M_alt 'C m m m'
_space_group_IT_number 65
_space_group_name_Hall '-C 2 2'
_cell_length_a 5.250
_cell_length_b 7.754
_cell_length_c 2.915
_cell_angle_alpha 90.00
_cell_angle_beta 90.00
_cell_angle_gamma 90.00
loop_
_atom_site_label
_atom_site_type_symbol
_atom_site_fract_x
_atom_site_fract_y
_atom_site_fract_z
Mn1 Mn 0.250 0.250 0.000
Tc1 Tc 0.000 0.000 0.500
Cl1 Cl 0.000 0.500 0.500
```

=====

A relaxed structure of LiHf2Zn3, computed with PBE.

Results
The magnetization comes out at 0.000 Bohr magnetons per cell. For the density of states at the Fermi level, the calculation gives 2.45 states/eV/f.u.

Structure (CIF):
```
data_LiHf2Zn3
_chemical_formula_sum 'Li1 Hf2 Zn3'
_space_group_name_H-M_alt 'P 4/m m m'
_space_group_IT_number 123
_space_group_name_Hall '-P 4 2'
_cell_length_a 3.121
_cell_length_b 3.121
_cell_length_c 10.445
_cell_angle_alpha 90.00
_cell_angle_beta 90.00
_cell_angle_gamma 90.00
loop_
_atom_site_label
_atom_site_type_symbol
_atom_site_fract_x
_atom_site_fract_y
_atom_site_fract_z
Li1 Li 0.000 0.000 0.000
Hf1 Hf 0.000 0.000 0.321
Zn1 Zn 0.500 0.500 0.145
Zn2 Zn 0.500 0.500 0.500
```

=====

A relaxed structure of Ba8AgAu2, computed with PBE.

Results
For the energy above the most stable polymorph in this dataset, the calculation gives 0.086 eV/atom. The magnetization comes out at 0.000 Bohr magnetons per cell. For the density of states at the Fermi level, the calculation gives 11.14 states/eV/f.u.

Structure (CIF):
```
data_Ba8AgAu2
_chemical_formula_sum 'Ba8 Ag1 Au2'
_space_group_name_H-M_alt 'P -1'
_space_group_IT_number 2
_cell_length_a 6.978
_cell_length_b 10.265
_cell_length_c 10.267
_cell_angle_alpha 60.03
_cell_angle_beta 90.00
_cell_angle_gamma 90.00
loop_
_space_group_symop_operation_xyz
'x,y,z'
'-x,-y,-z'
loop_
_atom_site_label
_atom_site_type_symbol
_atom_site_fract_x
_atom_site_fract_y
_atom_site_fract_z
Ba1 Ba 0.247 0.314 0.344
Ba2 Ba 0.247 0.842 0.814
Ba3 Ba 0.247 0.844 0.342
Ba4 Ba 0.252 0.333 0.833
Ag1 Ag 0.500 0.000 0.500
Au1 Au 0.245 0.667 0.167
```

=====

A relaxed structure of YCr2Cd, computed with PBE.

Results
The magnetization comes out at 15.600 Bohr magnetons per cell. For the density of states at the Fermi level, the calculation gives 3.14 states/eV/f.u.

Structure (CIF):
```
data_YCr2Cd
_chemical_formula_sum 'Y2 Cr4 Cd2'
_space_group_name_H-M_alt 'I 4/m m m'
_space_group_IT_number 139
_space_group_name_Hall '-I 4 2'
_cell_length_a 4.582
_cell_length_b 4.582
_cell_length_c 7.876
_cell_angle_alpha 90.00
_cell_angle_beta 90.00
_cell_angle_gamma 90.00
loop_
_atom_site_label
_atom_site_type_symbol
_atom_site_fract_x
_atom_site_fract_y
_atom_site_fract_z
Y1 Y 0.000 0.000 0.000
Cr1 Cr 0.000 0.500 0.250
Cd1 Cd 0.000 0.000 0.500
```

=====

A relaxed structure of MnCdBr2, computed with PBE.

Results
For the energy above the most stable polymorph in this dataset, the calculation gives 0.005 eV/atom. The magnetization comes out at 15.000 Bohr magnetons per cell. For the density of states at the Fermi level, the calculation gives 1.08 states/eV/f.u. As for the energy relative to the elements, uncorrected: -0.45 eV/atom.

Structure (CIF):
```
data_MnCdBr2
_chemical_formula_sum 'Mn3 Cd3 Br6'
_space_group_name_H-M_alt 'R -3 m'
_space_group_IT_number 166
_space_group_name_Hall '-R 3 2"'
_cell_length_a 3.8185
_cell_length_b 3.8185
_cell_length_c 33.1118
_cell_angle_alpha 90.00
_cell_angle_beta 90.00
_cell_angle_gamma 120.00
loop_
_atom_site_label
_atom_site_type_symbol
_atom_site_fract_x
_atom_site_fract_y
_atom_site_fract_z
Mn1 Mn 0.0000 0.0000 0.0000
Cd1 Cd 0.0000 0.0000 0.5000
Br1 Br 0.0000 0.0000 0.3799
```

=====

A relaxed structure of Tm4UP5, computed with PBE.

Results
The magnetization comes out at 4.595 Bohr magnetons per cell. For the density of states at the Fermi level, the calculation gives 6.14 states/eV/f.u.

Structure (CIF):
```
data_Tm4UP5
_chemical_formula_sum 'Tm8 U2 P10'
_space_group_name_H-M_alt 'I m m m'
_space_group_IT_number 71
_space_group_name_Hall '-I 2 2'
_cell_length_a 3.935
_cell_length_b 5.574
_cell_length_c 19.770
_cell_angle_alpha 90.00
_cell_angle_beta 90.00
_cell_angle_gamma 90.00
loop_
_atom_site_label
_atom_site_type_symbol
_atom_site_fract_x
_atom_site_fract_y
_atom_site_fract_z
Tm1 Tm 0.000 0.000 0.102
Tm2 Tm 0.000 0.000 0.298
U1 U 0.000 0.000 0.500
P1 P 0.000 0.500 0.099
P2 P 0.000 0.500 0.300
P3 P 0.000 0.500 0.500
```

=====

A relaxed structure of Pt2PbBr, computed with PBE.

Results
For the energy above the most stable polymorph in this dataset, the calculation gives 0.270 eV/atom. The magnetization comes out at 0.000 Bohr magnetons per cell. For the density of states at the Fermi level, the calculation gives 2.01 states/eV/f.u. As for the energy relative to the elements, uncorrected: 0.29 eV/atom.

Structure (CIF):
```
data_Pt2PbBr
_chemical_formula_sum 'Pt4 Pb2 Br2'
_space_group_name_H-M_alt 'I m m m'
_space_group_IT_number 71
_space_group_name_Hall '-I 2 2'
_cell_length_a 3.413
_cell_length_b 5.311
_cell_length_c 9.027
_cell_angle_alpha 90.00
_cell_angle_beta 90.00
_cell_angle_gamma 90.00
loop_
_atom_site_label
_atom_site_type_symbol
_atom_site_fract_x
_atom_site_fract_y
_atom_site_fract_z
Pt1 Pt 0.000 0.000 0.250
Pb1 Pb 0.000 0.500 0.000
Br1 Br 0.000 0.500 0.500
```

=====

Number 1: electronic total energy -0.3600 Ry/atom. Number 2: electronic total energy -0.3459 Ry/atom. Number 3: electronic total energy -0.5988 Ry/atom. Number 4: electronic total energy -0.5062 Ry/atom. Number 5: electronic total energy -0.4812 Ry/atom. Number 6: electronic total energy -0.5199 Ry/atom. Number 7: electronic total energy -0.3266 Ry/atom. Number 8: electronic total energy -0.1792 Ry/atom. Number 9: electronic total energy -0.4548 Ry/atom. Number 10: electronic total energy -0.2798 Ry/atom. Number 11: electronic total energy -0.5217 Ry/atom. Number 12: electronic total energy -0.2993 Ry/atom.